Entry 1:
# ScSi2Ir, relaxed, DFT GGA-PBEsol
data_ScSi2Ir
_cell_length_a 8.498
_cell_length_b 3.063
_cell_length_c 4.812
_cell_angle_alpha 90.00
_cell_angle_beta 102.43
_cell_angle_gamma 90.00
_symmetry_space_group_name_H-M 'C 1 m 1'
_symmetry_Int_Tables_number 8
_symmetry_space_group_name_Hall 'C -2y'
loop_
_atom_site_label
_atom_site_type_symbol
_atom_site_fract_x
_atom_site_fract_y
_atom_site_fract_z
Sc1 Sc 0.000 0.000 0.000
Si1 Si 0.001 0.500 0.491
Si2 Si 0.260 0.500 0.279
Ir1 Ir 0.235 0.000 0.660
# crystal system	monoclinic
# uncorrected formation energy	-0.601	eV per atom
# energy	-7.58	eV/atom
# total magnetization	0.0	Bohr magnetons per cell


Entry 2:
# Sc5Si10Ir4, relaxed, DFT GGA-PBEsol
data_Sc5Si10Ir4
_cell_length_a 12.292
_cell_length_b 12.292
_cell_length_c 4.054
_cell_angle_alpha 90.00
_cell_angle_beta 90.00
_cell_angle_gamma 90.00
_symmetry_space_group_name_H-M 'P 4/m b m'
_symmetry_Int_Tables_number 127
_symmetry_space_group_name_Hall '-P 4 2ab'
loop_
_atom_site_label
_atom_site_type_symbol
_atom_site_fract_x
_atom_site_fract_y
_atom_site_fract_z
Sc1 Sc 0.000 0.000 0.000
Sc2 Sc 0.117 0.383 0.500
Sc3 Sc 0.174 0.674 0.500
Si1 Si 0.005 0.848 0.500
Si2 Si 0.066 0.566 0.000
Si3 Si 0.166 0.199 0.000
Ir1 Ir 0.019 0.753 0.000
# crystal system	tetragonal
# uncorrected formation energy	-0.914	eV per atom
# energy	-7.74	eV/atom
# total magnetization	0.0	Bohr magnetons per cell


Repeat the second record exactly.
# Sc5Si10Ir4, relaxed, DFT GGA-PBEsol
data_Sc5Si10Ir4
_cell_length_a 12.292
_cell_length_b 12.292
_cell_length_c 4.054
_cell_angle_alpha 90.00
_cell_angle_beta 90.00
_cell_angle_gamma 90.00
_symmetry_space_group_name_H-M 'P 4/m b m'
_symmetry_Int_Tables_number 127
_symmetry_space_group_name_Hall '-P 4 2ab'
loop_
_atom_site_label
_atom_site_type_symbol
_atom_site_fract_x
_atom_site_fract_y
_atom_site_fract_z
Sc1 Sc 0.000 0.000 0.000
Sc2 Sc 0.117 0.383 0.500
Sc3 Sc 0.174 0.674 0.500
Si1 Si 0.005 0.848 0.500
Si2 Si 0.066 0.566 0.000
Si3 Si 0.166 0.199 0.000
Ir1 Ir 0.019 0.753 0.000
# crystal system	tetragonal
# uncorrected formation energy	-0.914	eV per atom
# energy	-7.74	eV/atom
# total magnetization	0.0	Bohr magnetons per cell


Question: Among the records above, which one has the highest energy?
Answer: ScSi2Ir


Question: Among the records above, which one has the lowest uncorrected formation energy?
Answer: Sc5Si10Ir4